(1)
This record from the Alexandria database describes a relaxed structure of La2PmPb3. The functional is PBE.

Summary:
Its energy above the most stable polymorph in this dataset is 2.5 kJ/mol of atoms. As for the formation enthalpy at 0 K: -0.53 eV per atom. Its crystal system is orthorhombic.

```
La2PmPb3
1.0
2.993 -8.988 0.000
2.993 8.988 0.000
0.000 0.000 7.013
La Pm Pb
4 2 6
Direct
0.000 0.000 0.000
0.000 0.000 0.500
0.335 0.665 0.000
0.665 0.335 0.000
0.333 0.667 0.500
0.667 0.333 0.500
0.168 0.832 0.260
0.168 0.832 0.740
0.500 0.500 0.260
0.500 0.500 0.740
0.832 0.168 0.260
0.832 0.168 0.740
```

=====

(2)
This record from the Alexandria database describes a relaxed structure of Sr3Ca2As4. The functional is PBE.

Summary:
As for the formation enthalpy at 0 K: -1.04 eV per atom. Its crystal system is monoclinic.

```
Sr3Ca2As4
1.0
8.341 -2.437 0.000
8.341 2.437 0.000
-2.105 0.000 6.646
Sr Ca As
3 2 4
Direct
0.000 0.000 0.000
0.138 0.138 0.560
0.862 0.862 0.440
0.333 0.333 0.988
0.667 0.667 0.012
0.216 0.216 0.218
0.499 0.499 0.316
0.501 0.501 0.684
0.784 0.784 0.782
```

=====

(3)
This record from the Alexandria database describes a relaxed structure of K2NiPb. The functional is PBE.

Summary:
As for the formation enthalpy at 0 K: 0.48 eV per atom. Its crystal system is orthorhombic.

```
K2NiPb
1.0
2.972 -5.467 0.000
2.972 5.467 0.000
0.000 0.000 3.740
K Ni Pb
2 1 1
Direct
0.000 0.500 0.000
0.500 0.000 0.000
0.000 0.000 0.500
0.500 0.500 0.500
```

=====

(4)
This record from the Alexandria database describes a relaxed structure of Sr2LiCuPd6. The functional is PBE.

Summary:
As for the formation enthalpy at 0 K: -0.19 eV per atom. Its crystal system is orthorhombic.

```
Sr2LiCuPd6
1.0
-3.267 3.281 4.632
3.267 -3.281 4.632
3.267 3.281 -4.632
Sr Li Cu Pd
2 1 1 6
Direct
0.250 0.250 0.000
0.750 0.750 0.000
0.500 0.000 0.500
0.000 0.500 0.500
0.261 0.239 0.500
0.261 0.761 0.022
0.261 0.761 0.500
0.739 0.239 0.500
0.739 0.239 0.978
0.739 0.761 0.500
```

=====

(5)
This record from the Alexandria database describes a relaxed structure of Rb2MgNpSe4. The functional is PBE.

Summary:
Its crystal system is monoclinic. The uncorrected formation energy is -27.55 kcal/mol of atoms.

```
Rb2MgNpSe4
1.0
7.183 0.000 0.000
0.000 4.233 0.000
-2.486 0.000 7.940
Rb Mg Np Se
2 1 1 4
Direct
0.000 0.000 0.000
0.500 0.500 0.000
0.000 0.500 0.500
0.500 0.000 0.500
0.227 0.000 0.685
0.271 0.500 0.306
0.729 0.500 0.694
0.773 0.000 0.315
```

=====

(6)
This record from the Alexandria database describes a relaxed structure of Pm7Er3Tm2. The functional is PBE.

Summary:
Its energy above the most stable polymorph in this dataset is 0.0 kJ/mol of atoms. As for the formation enthalpy at 0 K: 0.09 eV per atom. Its crystal system is monoclinic.

```
Pm7Er3Tm2
1.0
5.824 0.000 0.000
0.000 3.600 0.000
-1.349 0.000 18.857
Pm Er Tm
7 3 2
Direct
0.000 0.000 0.000
0.176 0.500 0.184
0.259 0.500 0.535
0.327 0.000 0.855
0.673 0.000 0.145
0.741 0.500 0.465
0.824 0.500 0.816
0.217 0.000 0.368
0.500 0.500 0.000
0.783 0.000 0.632
0.296 0.500 0.702
0.704 0.500 0.298
```

=====

(7)
This record from the Alexandria database describes a relaxed structure of SbMoSN2. The functional is PBE.

Summary:
Its energy above the most stable polymorph in this dataset is 99.1 kJ/mol of atoms. Its crystal system is tetragonal. The uncorrected formation energy is 34.37 kcal/mol of atoms.

```
SbMoSN2
1.0
4.010 0.000 0.000
0.000 4.010 0.000
0.000 0.000 5.105
Sb Mo S N
1 1 1 2
Direct
0.000 0.000 0.000
0.500 0.500 0.500
0.000 0.000 0.500
0.000 0.500 0.000
0.500 0.000 0.000
```

=====

(8)
This record from the Alexandria database describes a relaxed structure of Cs2SbC. The functional is PBE.

Summary:
Its energy above the most stable polymorph in this dataset is 0.0 kJ/mol of atoms. Its crystal system is tetragonal. The uncorrected formation energy is 15.78 kcal/mol of atoms.

```
Cs2SbC
1.0
-6.828 6.828 2.221
6.828 -6.828 2.221
6.828 6.828 -2.221
Cs Sb C
4 2 2
Direct
0.375 0.099 0.224
0.849 0.625 0.724
0.875 0.151 0.776
0.901 0.125 0.276
0.250 0.750 0.500
0.500 0.500 0.000
0.000 0.000 0.000
0.750 0.250 0.500
```

=====

(9)
This record from the Alexandria database describes a relaxed structure of NdTmCdRu. The functional is PBE.

Summary:
Its energy above the most stable polymorph in this dataset is 0.0 kJ/mol of atoms. As for the formation enthalpy at 0 K: -0.34 eV per atom. Its crystal system is tetragonal.

```
NdTmCdRu
1.0
3.493 0.000 0.000
0.000 3.493 0.000
0.000 0.000 7.768
Nd Tm Cd Ru
1 1 1 1
Direct
0.000 0.000 0.000
0.000 0.000 0.569
0.500 0.500 0.302
0.500 0.500 0.769
```

=====

(10)
This record from the Alexandria database describes a relaxed structure of HfZnCd2. The functional is PBE.

Summary:
As for the formation enthalpy at 0 K: 0.28 eV per atom. Its crystal system is tetragonal.

```
HfZnCd2
1.0
-3.857 3.857 2.887
3.857 -3.857 2.887
3.857 3.857 -2.887
Hf Zn Cd
2 2 4
Direct
0.000 0.000 0.000
0.750 0.250 0.500
0.250 0.750 0.500
0.500 0.500 0.000
0.156 0.625 0.031
0.375 0.406 0.531
0.594 0.125 0.969
0.875 0.844 0.469
```

=====

(11)
This record from the Alexandria database describes a relaxed structure of PuInGa. The functional is PBE.

Summary:
Its energy above the most stable polymorph in this dataset is 7.0 kJ/mol of atoms. As for the formation enthalpy at 0 K: -0.17 eV per atom. Its crystal system is tetragonal.

```
PuInGa
1.0
-1.685 1.685 6.163
1.685 -1.685 6.163
1.685 1.685 -6.163
Pu In Ga
1 1 1
Direct
0.000 0.000 0.000
0.308 0.308 0.000
0.661 0.661 0.000
```

=====

(12)
This record from the Alexandria database describes a relaxed structure of SrBe2Re. The functional is PBE.

Summary:
Its energy above the most stable polymorph in this dataset is 3.4 kJ/mol of atoms. As for the formation enthalpy at 0 K: 0.36 eV per atom. Its crystal system is monoclinic.

```
SrBe2Re
1.0
3.875 -1.765 0.000
3.875 1.765 0.000
-2.067 0.000 5.366
Sr Be Re
1 2 1
Direct
0.000 0.000 0.000
0.206 0.206 0.561
0.794 0.794 0.439
0.500 0.500 0.500
```